a:
Density functional theory data (PBE-GGA) for crystalline NbWAu2 at its relaxed geometry.

Its crystal system is tetragonal. Its total moment is 0.0 μB per formula unit.

Cell: 7.482 7.482 5.387 Å, 90.00 90.00 90.00°
Space group I-42d (No. 122)
Inequivalent atoms, fractional coordinates:
Nb: 0.000 0.000 0.000
W: 0.000 0.000 0.500
Au: 0.239 0.250 0.625

b:
Density functional theory data (PBE-GGA) for crystalline NbWAu2 at its relaxed geometry.

Its crystal system is cubic. Its total moment is 0.0 μB per formula unit.

Cell: 6.555 6.555 6.555 Å, 90.00 90.00 90.00°
Space group Fm-3m (No. 225)
Inequivalent atoms, fractional coordinates:
Nb: 0.000 0.000 0.000
W: 0.000 0.000 0.500
Au: 0.250 0.250 0.250

Compare the structures above. Which one is the most stable? b is.